A relaxed Nd3AuCCl crystal. Source: Alexandria via LeMat-Bulk, functional PBE-GGA.

Results
- density of states at the Fermi level (states/eV/f.u.) = 5.5
- energy (eV per atom) = -5.554

Geometry as CIF:
```
data_Nd3AuCCl
_chemical_formula_sum 'Nd6 Au2 C2 Cl2'
_space_group_name_H-M_alt 'P 1 21/m 1'
_space_group_IT_number 11
_space_group_name_Hall '-P 2yb'
_cell_length_a 7.5377
_cell_length_b 3.9324
_cell_length_c 9.9392
_cell_angle_alpha 90.00
_cell_angle_beta 93.58
_cell_angle_gamma 90.00
loop_
_atom_site_label
_atom_site_type_symbol
_atom_site_fract_x
_atom_site_fract_y
_atom_site_fract_z
Nd1 Nd 0.0636 0.2500 0.1980
Nd2 Nd 0.1878 0.7500 0.5107
Nd3 Nd 0.3719 0.2500 0.7984
Au1 Au 0.4277 0.2500 0.3719
C1 C 0.0722 0.2500 0.6842
Cl1 Cl 0.2605 0.7500 0.0044
```

=====

A relaxed SnBiTe3Au crystal. Source: Alexandria via LeMat-Bulk, functional PBE-GGA.

Results
- energy (eV per atom) = -3.581

Geometry as CIF:
```
data_SnBiTe3Au
_chemical_formula_sum 'Sn2 Bi2 Te6 Au2'
_space_group_name_H-M_alt 'P 1 21/m 1'
_space_group_IT_number 11
_space_group_name_Hall '-P 2yb'
_cell_length_a 8.6653
_cell_length_b 4.3790
_cell_length_c 10.2873
_cell_angle_alpha 90.00
_cell_angle_beta 99.68
_cell_angle_gamma 90.00
loop_
_atom_site_label
_atom_site_type_symbol
_atom_site_fract_x
_atom_site_fract_y
_atom_site_fract_z
Sn1 Sn 0.1675 0.2500 0.3061
Bi1 Bi 0.3358 0.7500 0.8579
Te1 Te 0.0727 0.2500 0.8583
Te2 Te 0.2739 0.7500 0.5297
Te3 Te 0.4058 0.7500 0.1584
Au1 Au 0.0705 0.2500 0.5872
```

=====

| no. | size of the total moment (μB/cell) | formation energy (no corrections) (eV/atom) |
| --- | --- | --- |
| 1 | 0.00 | -0.779 |
| 2 | 0.00 | -0.150 |